The following is a GGA-PBE calculation of BaRe2Br after structural relaxation, from the Alexandria database.

Values from the calculation:
The calculation puts the total energy at -24.3 eV for the cell shown. The value obtained for the volume is 24.94 Å³ per atom. Its space group is P2/m.

abc: 3.253 4.660 8.073
angles: 54.61 90.00 90.00
Element x y z (fractional)
Br 0.000 0.000 0.500
Re 0.000 0.000 0.000
Ba 0.500 0.500 0.500
Re 0.500 0.500 0.000

=====

The following is a GGA-PBE calculation of GaCo3Ir after structural relaxation, from the Alexandria database.

Values from the calculation:
The value obtained for the volume is 15.12 Å³ per atom. Its space group is Pm-3m. The value obtained for the energy relative to the elements is 6.127 eV/f.u.

abc: 4.228 4.228 4.228
angles: 90.00 90.00 90.00
Element x y z (fractional)
Co 0.500 0.000 0.000
Ga 0.000 0.000 0.000
Co 0.000 0.500 0.000
Ir 0.500 0.500 0.500
Co 0.000 0.000 0.500

=====

The following is a GGA-PBE calculation of RbDyZnBr6 after structural relaxation, from the Alexandria database.

Values from the calculation:
The calculation puts the total energy at -30.3 eV for the cell shown. The value obtained for the volume is 37.60 Å³ per atom. Its space group is P312.

abc: 7.112 7.112 7.727
angles: 90.01 89.99 59.99
Element x y z (fractional)
Rb 0.000 0.000 0.000
Dy 0.667 0.667 0.500
Br 0.015 0.619 0.704
Br 0.619 0.366 0.704
Br 0.619 0.015 0.296
Br 0.015 0.366 0.296
Br 0.366 0.015 0.704
Zn 0.333 0.333 0.500
Br 0.366 0.619 0.296

=====

The following is a GGA-PBE calculation of HRuCN after structural relaxation, from the Alexandria database.

Values from the calculation:
The calculation puts the total energy at -57.2 eV for the cell shown. The value obtained for the volume is 8.94 Å³ per atom. Its space group is Amm2.

abc: 3.055 2.373 9.864
angles: 90.00 90.00 90.00
Element x y z (fractional)
N 0.500 0.000 0.933
H 0.000 0.000 0.659
C 0.500 0.500 0.861
H 0.000 0.500 0.159
C 0.500 0.000 0.361
N 0.500 0.500 0.433
Ru 0.500 0.500 0.657
Ru 0.500 0.000 0.157

=====

The following is a GGA-PBE calculation of Be2Cl after structural relaxation, from the Alexandria database.

Values from the calculation:
The calculation puts the total energy at -18.7 eV for the cell shown. The value obtained for the volume is 14.60 Å³ per atom. Its space group is Cmcm.

abc: 5.366 5.366 4.005
angles: 90.00 90.00 130.60
Element x y z (fractional)
Cl 0.739 0.739 0.250
Be 0.965 0.364 0.750
Be 0.364 0.965 0.750
Be 0.035 0.636 0.250
Be 0.636 0.035 0.250
Cl 0.261 0.261 0.750

=====

The following is a GGA-PBE calculation of La3AlH after structural relaxation, from the Alexandria database.

Values from the calculation:
The calculation puts the total energy at -23.2 eV for the cell shown. The value obtained for the volume is 25.45 Å³ per atom. Its space group is Pm-3m.

abc: 5.030 5.030 5.030
angles: 90.00 90.00 90.00
Element x y z (fractional)
La 0.500 0.000 0.000
La 0.000 0.500 0.000
La 0.000 0.000 0.500
Al 0.500 0.500 0.500
H 0.000 0.000 0.000

=====

The following is a GGA-PBE calculation of LaZrSe2 after structural relaxation, from the Alexandria database.

Values from the calculation:
The calculation puts the total energy at -25.8 eV for the cell shown. The value obtained for the volume is 22.29 Å³ per atom. Its space group is Fm-3m.

abc: 5.015 5.015 5.015
angles: 60.00 60.00 60.00
Element x y z (fractional)
Se 0.750 0.750 0.750
Se 0.250 0.250 0.250
Zr 0.000 0.000 0.000
La 0.500 0.500 0.500

=====

The following is a GGA-PBE calculation of GaAg5Au6 after structural relaxation, from the Alexandria database.

Values from the calculation:
The value obtained for the volume is 17.83 Å³ per atom. Its space group is P2/m. The value obtained for the energy relative to the elements is -0.659 eV/f.u.

abc: 4.109 8.240 6.666
angles: 90.00 71.42 90.00
Element x y z (fractional)
Au 0.500 0.760 0.000
Au 0.500 0.240 0.000
Ag 0.665 0.500 0.669
Au 0.834 0.249 0.332
Au 0.166 0.249 0.668
Ag 0.333 0.000 0.335
Ag 0.667 0.000 0.665
Au 0.166 0.751 0.668
Ag 0.000 0.500 0.000
Au 0.834 0.751 0.332
Ga 0.000 0.000 0.000
Ag 0.335 0.500 0.331